# 1
An optimized crystal structure of Bi3Au, computed with PBE.

Cell lengths 6.553, 4.067, 9.071 Å; angles 90.00, 102.85, 90.00 degrees
Fractional coordinates of all 8 atoms:
Bi 0.101 0.250 0.302
Bi 0.295 0.750 0.056
Bi 0.338 0.750 0.591
Bi 0.662 0.250 0.409
Bi 0.705 0.250 0.944
Bi 0.899 0.750 0.698
Au 0.254 0.250 0.817
Au 0.746 0.750 0.183

Computed properties:
density of states at the Fermi level	1.27	states/eV/f.u.
electronic total energy	-3.71	eV per atom
energy of formation from the pure elements	0.02	eV per atom
space group	P2_1/m (11)
ΔE to the lowest computed polymorph	0	meV/atom
V	235.7	Å³ per cell
total magnetic moment	0.00	μB per atom



# 2
An optimized crystal structure of BiAu6, computed with PBE.

Cell lengths 6.425, 6.425, 6.425 Å; angles 109.47, 109.47, 109.47 degrees
Fractional coordinates of all 7 atoms:
Bi 0.000 0.000 0.000
Au 0.250 0.500 0.750
Au 0.250 0.750 0.500
Au 0.500 0.250 0.750
Au 0.500 0.750 0.250
Au 0.750 0.250 0.500
Au 0.750 0.500 0.250

Computed properties:
density of states at the Fermi level	2.73	states/eV/f.u.
electronic total energy	-2.70	eV per atom
energy of formation from the pure elements	0.67	eV per atom
space group	Im-3m (229)
ΔE to the lowest computed polymorph	633	meV/atom
V	204.2	Å³ per cell
total magnetic moment	0.00	μB per atom



# 3
An optimized crystal structure of Bi4Au, computed with PBE.

Cell lengths 7.824, 7.824, 7.824 Å; angles 60.00, 60.00, 60.00 degrees
Fractional coordinates of all 10 atoms:
Bi 0.180 0.773 0.773
Bi 0.227 0.227 0.227
Bi 0.227 0.227 0.820
Bi 0.227 0.820 0.227
Bi 0.773 0.180 0.773
Bi 0.773 0.773 0.180
Bi 0.773 0.773 0.773
Bi 0.820 0.227 0.227
Au 0.375 0.375 0.375
Au 0.625 0.625 0.625

Computed properties:
density of states at the Fermi level	2.98	states/eV/f.u.
electronic total energy	-3.51	eV per atom
energy of formation from the pure elements	0.25	eV per atom
space group	Fd-3m (227)
ΔE to the lowest computed polymorph	0	meV/atom
V	338.6	Å³ per cell
total magnetic moment	0.00	μB per atom



# 4
An optimized crystal structure of BiAu3, computed with PBE.

Cell lengths 5.711, 5.711, 9.744 Å; angles 106.96, 106.96, 60.35 degrees
Fractional coordinates of all 12 atoms:
Bi 0.000 0.000 0.000
Bi 0.145 0.145 0.431
Bi 0.855 0.855 0.569
Au 0.081 0.587 0.252
Au 0.335 0.335 0.000
Au 0.412 0.412 0.745
Au 0.413 0.919 0.748
Au 0.500 0.500 0.500
Au 0.587 0.081 0.252
Au 0.588 0.588 0.255
Au 0.665 0.665 0.000
Au 0.919 0.413 0.748

Computed properties:
density of states at the Fermi level	1.44	states/eV/f.u.
electronic total energy	-3.43	eV per atom
energy of formation from the pure elements	0.00	eV per atom
space group	C2/m (12)
V	260.0	Å³ per cell
total magnetic moment	0.00	μB per atom



# 5
An optimized crystal structure of Bi3Au, computed with PBE.

Cell lengths 3.227, 3.227, 12.220 Å; angles 90.00, 90.00, 90.00 degrees
Fractional coordinates of all 4 atoms:
Bi 0.000 0.000 0.000
Bi 0.000 0.000 0.270
Bi 0.000 0.000 0.730
Au 0.000 0.000 0.500

Computed properties:
density of states at the Fermi level	2.40	states/eV/f.u.
electronic total energy	-3.60	eV per atom
energy of formation from the pure elements	0.13	eV per atom
space group	P4/mmm (123)
ΔE to the lowest computed polymorph	109	meV/atom
V	127.3	Å³ per cell
total magnetic moment	0.00	μB per atom



# 6
An optimized crystal structure of Bi3Au, computed with PBE.

Cell lengths 5.768, 5.768, 5.768 Å; angles 128.81, 128.81, 75.31 degrees
Fractional coordinates of all 4 atoms:
Bi 0.000 0.000 0.000
Bi 0.250 0.750 0.500
Bi 0.750 0.250 0.500
Au 0.500 0.500 0.000

Computed properties:
density of states at the Fermi level	1.93	states/eV/f.u.
electronic total energy	-3.60	eV per atom
energy of formation from the pure elements	0.13	eV per atom
space group	I4/mmm (139)
ΔE to the lowest computed polymorph	115	meV/atom
V	113.4	Å³ per cell
total magnetic moment	0.00	μB per atom



# 7
An optimized crystal structure of Bi2Au3, computed with PBE.

Cell lengths 14.573, 14.573, 4.587 Å; angles 90.00, 90.00, 165.81 degrees
Fractional coordinates of all 10 atoms:
Bi 0.070 0.930 0.750
Bi 0.208 0.792 0.250
Bi 0.792 0.208 0.750
Bi 0.930 0.070 0.250
Au 0.319 0.681 0.250
Au 0.378 0.622 0.750
Au 0.473 0.527 0.750
Au 0.527 0.473 0.250
Au 0.622 0.378 0.250
Au 0.681 0.319 0.750

Computed properties:
density of states at the Fermi level	1.65	states/eV/f.u.
electronic total energy	-3.50	eV per atom
energy of formation from the pure elements	0.02	eV per atom
space group	Cmcm (63)
ΔE to the lowest computed polymorph	0	meV/atom
V	238.8	Å³ per cell
total magnetic moment	0.00	μB per atom



# 8
An optimized crystal structure of Bi3Au, computed with PBE.

Cell lengths 4.837, 4.837, 4.837 Å; angles 90.00, 90.00, 90.00 degrees
Fractional coordinates of all 4 atoms:
Bi 0.000 0.000 0.500
Bi 0.000 0.500 0.000
Bi 0.500 0.000 0.000
Au 0.500 0.500 0.500

Computed properties:
density of states at the Fermi level	3.87	states/eV/f.u.
electronic total energy	-3.57	eV per atom
energy of formation from the pure elements	0.16	eV per atom
space group	Pm-3m (221)
ΔE to the lowest computed polymorph	145	meV/atom
V	113.1	Å³ per cell
total magnetic moment	0.00	μB per atom



# 9
An optimized crystal structure of Bi4Au5, computed with PBE.

Cell lengths 7.270, 7.270, 7.270 Å; angles 143.96, 95.81, 95.17 degrees
Fractional coordinates of all 9 atoms:
Bi 0.202 0.500 0.702
Bi 0.203 0.203 0.000
Bi 0.797 0.797 0.000
Bi 0.798 0.500 0.298
Au 0.168 0.834 0.334
Au 0.499 0.166 0.334
Au 0.500 0.500 0.000
Au 0.501 0.834 0.666
Au 0.832 0.166 0.666

Computed properties:
density of states at the Fermi level	2.56	states/eV/f.u.
electronic total energy	-3.53	eV per atom
energy of formation from the pure elements	0.02	eV per atom
space group	Immm (71)
V	214.9	Å³ per cell
total magnetic moment	0.00	μB per atom



# 10
An optimized crystal structure of BiAu3, computed with PBE.

Cell lengths 3.558, 4.380, 5.629 Å; angles 90.00, 90.00, 90.00 degrees
Fractional coordinates of all 4 atoms:
Bi 0.000 0.000 0.000
Au 0.000 0.500 0.620
Au 0.500 0.000 0.537
Au 0.500 0.500 0.201

Computed properties:
density of states at the Fermi level	1.70	states/eV/f.u.
electronic total energy	-3.37	eV per atom
energy of formation from the pure elements	0.06	eV per atom
space group	Pmm2 (25)
V	87.7	Å³ per cell
total magnetic moment	0.00	μB per atom



# 11
An optimized crystal structure of Bi3Au, computed with PBE.

Cell lengths 7.004, 7.004, 7.004 Å; angles 151.30, 54.79, 134.38 degrees
Fractional coordinates of all 4 atoms:
Bi 0.000 0.000 0.000
Bi 0.392 0.583 0.809
Bi 0.774 0.583 0.191
Au 0.464 0.964 0.500

Computed properties:
density of states at the Fermi level	2.40	states/eV/f.u.
electronic total energy	-3.67	eV per atom
energy of formation from the pure elements	0.06	eV per atom
space group	Imm2 (44)
ΔE to the lowest computed polymorph	38	meV/atom
V	117.3	Å³ per cell
total magnetic moment	0.00	μB per atom



# 12
An optimized crystal structure of BiAu3, computed with PBE.

Cell lengths 4.381, 4.381, 4.381 Å; angles 90.00, 90.00, 90.00 degrees
Fractional coordinates of all 4 atoms:
Bi 0.000 0.000 0.000
Au 0.000 0.500 0.500
Au 0.500 0.000 0.500
Au 0.500 0.500 0.000

Computed properties:
density of states at the Fermi level	1.52	states/eV/f.u.
electronic total energy	-3.38	eV per atom
energy of formation from the pure elements	0.05	eV per atom
space group	Pm-3m (221)
V	84.1	Å³ per cell
total magnetic moment	0.00	μB per atom



# 13
An optimized crystal structure of BiAu3, computed with PBE.

Cell lengths 4.933, 4.933, 4.933 Å; angles 60.00, 60.00, 60.00 degrees
Fractional coordinates of all 4 atoms:
Bi 0.000 0.000 0.000
Au 0.250 0.250 0.250
Au 0.500 0.500 0.500
Au 0.750 0.750 0.750

Computed properties:
density of states at the Fermi level	3.28	states/eV/f.u.
electronic total energy	-3.32	eV per atom
energy of formation from the pure elements	0.11	eV per atom
space group	Fm-3m (225)
V	84.9	Å³ per cell
total magnetic moment	0.00	μB per atom



# 14
An optimized crystal structure of Bi2Au3, computed with PBE.

Cell lengths 8.720, 8.720, 8.720 Å; angles 109.47, 109.47, 109.47 degrees
Fractional coordinates of all 20 atoms:
Bi 0.000 0.075 0.500
Bi 0.000 0.575 0.500
Bi 0.075 0.500 0.000
Bi 0.425 0.425 0.425
Bi 0.500 0.000 0.075
Bi 0.500 0.000 0.575
Bi 0.575 0.500 0.000
Bi 0.925 0.925 0.925
Au 0.014 0.250 0.264
Au 0.236 0.486 0.750
Au 0.250 0.264 0.014
Au 0.250 0.986 0.736
Au 0.264 0.014 0.250
Au 0.486 0.750 0.236
Au 0.514 0.764 0.750
Au 0.736 0.250 0.986
Au 0.750 0.236 0.486
Au 0.750 0.514 0.764
Au 0.764 0.750 0.514
Au 0.986 0.736 0.250

Computed properties:
density of states at the Fermi level	2.79	states/eV/f.u.
electronic total energy	-3.38	eV per atom
energy of formation from the pure elements	0.14	eV per atom
space group	I-43d (220)
ΔE to the lowest computed polymorph	117	meV/atom
V	510.5	Å³ per cell
total magnetic moment	0.00	μB per atom



# 15
An optimized crystal structure of Bi5Au3, computed with PBE.

Cell lengths 7.913, 12.871, 4.313 Å; angles 90.00, 90.00, 90.00 degrees
Fractional coordinates of all 16 atoms:
Bi 0.000 0.000 0.000
Bi 0.180 0.393 0.500
Bi 0.187 0.693 0.000
Bi 0.313 0.193 0.000
Bi 0.320 0.893 0.500
Bi 0.500 0.500 0.000
Bi 0.680 0.107 0.500
Bi 0.687 0.807 0.000
Bi 0.813 0.307 0.000
Bi 0.820 0.607 0.500
Au 0.000 0.500 0.000
Au 0.040 0.179 0.500
Au 0.460 0.679 0.500
Au 0.500 0.000 0.000
Au 0.540 0.321 0.500
Au 0.960 0.821 0.500

Computed properties:
density of states at the Fermi level	4.40	states/eV/f.u.
electronic total energy	-3.64	eV per atom
energy of formation from the pure elements	0.01	eV per atom
space group	Pbam (55)
V	439.2	Å³ per cell
total magnetic moment	0.00	μB per atom



# 16
An optimized crystal structure of Bi6Au, computed with PBE.

Cell lengths 7.585, 7.585, 7.585 Å; angles 109.47, 109.47, 109.47 degrees
Fractional coordinates of all 7 atoms:
Bi 0.250 0.500 0.750
Bi 0.250 0.750 0.500
Bi 0.500 0.250 0.750
Bi 0.500 0.750 0.250
Bi 0.750 0.250 0.500
Bi 0.750 0.500 0.250
Au 0.000 0.000 0.000

Computed properties:
density of states at the Fermi level	2.12	states/eV/f.u.
electronic total energy	-3.31	eV per atom
energy of formation from the pure elements	0.49	eV per atom
space group	Im-3m (229)
V	336.0	Å³ per cell
total magnetic moment	0.00	μB per atom



# 17
An optimized crystal structure of BiAu3, computed with PBE.

Cell lengths 6.228, 6.228, 5.989 Å; angles 90.00, 90.00, 131.47 degrees
Fractional coordinates of all 8 atoms:
Bi 0.097 0.903 0.750
Bi 0.903 0.097 0.250
Au 0.158 0.842 0.250
Au 0.371 0.629 0.511
Au 0.371 0.629 0.989
Au 0.629 0.371 0.011
Au 0.629 0.371 0.489
Au 0.842 0.158 0.750

Computed properties:
density of states at the Fermi level	1.37	states/eV/f.u.
electronic total energy	-3.40	eV per atom
energy of formation from the pure elements	0.02	eV per atom
space group	Cmcm (63)
V	174.0	Å³ per cell
total magnetic moment	0.00	μB per atom



# 18
An optimized crystal structure of Bi3Au4, computed with PBE.

Cell lengths 4.288, 14.345, 5.859 Å; angles 90.00, 110.63, 90.00 degrees
Fractional coordinates of all 14 atoms:
Bi 0.023 0.250 0.050
Bi 0.293 0.100 0.605
Bi 0.293 0.400 0.605
Bi 0.707 0.600 0.395
Bi 0.707 0.900 0.395
Bi 0.977 0.750 0.950
Au 0.000 0.000 0.000
Au 0.000 0.500 0.000
Au 0.244 0.750 0.470
Au 0.412 0.604 0.818
Au 0.412 0.896 0.818
Au 0.588 0.104 0.182
Au 0.588 0.396 0.182
Au 0.756 0.250 0.530

Computed properties:
density of states at the Fermi level	2.29	states/eV/f.u.
electronic total energy	-3.56	eV per atom
energy of formation from the pure elements	-0.02	eV per atom
space group	P2_1/m (11)
ΔE to the lowest computed polymorph	0	meV/atom
V	337.2	Å³ per cell
total magnetic moment	0.00	μB per atom



# 19
An optimized crystal structure of BiAu3, computed with PBE.

Cell lengths 5.422, 5.422, 5.422 Å; angles 132.89, 132.89, 68.83 degrees
Fractional coordinates of all 4 atoms:
Bi 0.000 0.000 0.000
Au 0.250 0.750 0.500
Au 0.500 0.500 0.000
Au 0.750 0.250 0.500

Computed properties:
density of states at the Fermi level	1.31	states/eV/f.u.
electronic total energy	-3.37	eV per atom
energy of formation from the pure elements	0.05	eV per atom
space group	I4/mmm (139)
V	84.0	Å³ per cell
total magnetic moment	0.00	μB per atom



# 20
An optimized crystal structure of BiAu6, computed with PBE.

Cell lengths 9.412, 5.648, 10.842 Å; angles 90.00, 90.00, 90.00 degrees
Fractional coordinates of all 28 atoms:
Bi 0.232 0.250 0.063
Bi 0.268 0.750 0.563
Bi 0.732 0.250 0.437
Bi 0.768 0.750 0.937
Au 0.052 0.004 0.304
Au 0.052 0.496 0.304
Au 0.059 0.750 0.064
Au 0.130 0.250 0.526
Au 0.171 0.750 0.825
Au 0.191 0.250 0.786
Au 0.309 0.750 0.286
Au 0.329 0.250 0.325
Au 0.370 0.750 0.026
Au 0.441 0.250 0.564
Au 0.448 0.504 0.804
Au 0.448 0.996 0.804
Au 0.552 0.004 0.196
Au 0.552 0.496 0.196
Au 0.559 0.750 0.436
Au 0.630 0.250 0.974
Au 0.671 0.750 0.675
Au 0.691 0.250 0.714
Au 0.809 0.750 0.214
Au 0.829 0.250 0.175
Au 0.870 0.750 0.474
Au 0.941 0.250 0.936
Au 0.948 0.504 0.696
Au 0.948 0.996 0.696

Computed properties:
density of states at the Fermi level	1.80	states/eV/f.u.
electronic total energy	-3.33	eV per atom
energy of formation from the pure elements	0.04	eV per atom
space group	Pnma (62)
ΔE to the lowest computed polymorph	0	meV/atom
V	576.4	Å³ per cell
total magnetic moment	0.00	μB per atom



# 21
An optimized crystal structure of Bi2Au7, computed with PBE.

Cell lengths 14.464, 14.464, 14.464 Å; angles 22.59, 22.59, 22.59 degrees
Fractional coordinates of all 18 atoms:
Bi 0.069 0.069 0.069
Bi 0.150 0.150 0.150
Bi 0.850 0.850 0.850
Bi 0.931 0.931 0.931
Au 0.000 0.500 0.500
Au 0.109 0.612 0.612
Au 0.279 0.279 0.279
Au 0.388 0.388 0.388
Au 0.388 0.388 0.891
Au 0.388 0.891 0.388
Au 0.500 0.000 0.500
Au 0.500 0.500 0.000
Au 0.500 0.500 0.500
Au 0.612 0.109 0.612
Au 0.612 0.612 0.109
Au 0.612 0.612 0.612
Au 0.721 0.721 0.721
Au 0.891 0.388 0.388

Computed properties:
density of states at the Fermi level	2.54	states/eV/f.u.
electronic total energy	-3.41	eV per atom
energy of formation from the pure elements	0.00	eV per atom
space group	R-3m (166)
V	391.7	Å³ per cell
total magnetic moment	0.00	μB per atom



# 22
An optimized crystal structure of Bi3Au, computed with PBE.

Cell lengths 3.369, 3.602, 9.786 Å; angles 90.00, 90.00, 90.00 degrees
Fractional coordinates of all 4 atoms:
Bi 0.000 0.000 0.000
Bi 0.000 0.500 0.288
Bi 0.500 0.500 0.711
Au 0.500 0.000 0.479

Computed properties:
density of states at the Fermi level	1.24	states/eV/f.u.
electronic total energy	-3.67	eV per atom
energy of formation from the pure elements	0.06	eV per atom
space group	Pmm2 (25)
ΔE to the lowest computed polymorph	44	meV/atom
V	118.8	Å³ per cell
total magnetic moment	0.00	μB per atom



# 23
An optimized crystal structure of Bi2Au2Br, computed with PBE.

Cell lengths 8.555, 8.555, 3.576 Å; angles 90.00, 90.00, 90.00 degrees
Fractional coordinates of all 10 atoms:
Bi 0.187 0.313 0.000
Bi 0.313 0.813 0.000
Bi 0.687 0.187 0.000
Bi 0.813 0.687 0.000
Au 0.117 0.617 0.500
Au 0.383 0.117 0.500
Au 0.617 0.883 0.500
Au 0.883 0.383 0.500
Br 0.000 0.000 0.000
Br 0.500 0.500 0.000

Computed properties:
ΔE_f (raw)	-0.04	eV/atom
density of states at the Fermi level	1.99	states/eV/f.u.
electronic total energy	-3.23	eV per atom
space group	P4/mbm (127)
ΔE to the lowest computed polymorph	21	meV/atom
V	261.7	Å³ per cell
total magnetic moment	0.00	μB per atom